First-principles (PBE) data for AcTb5Y8 after structural relaxation, as listed in Alexandria.

Cell: 8.524 8.524 8.524 Å, 110.77 110.77 106.90°
Element x y z (fractional)
Tb (0.500, 0.500, 0.000)
Y (0.178, 0.590, 0.776)
Y (0.012, 0.776, 0.097)
Tb (0.874, 0.281, 0.817)
Y (0.410, 0.186, 0.587)
Y (0.679, 0.915, 0.903)
Y (0.224, 0.321, 0.236)
Tb (0.464, 0.057, 0.183)
Y (0.598, 0.822, 0.413)
Ac (0.250, 0.750, 0.500)
Y (0.814, 0.402, 0.224)
Tb (0.719, 0.536, 0.593)
Tb (0.943, 0.126, 0.407)
Y (0.085, 0.988, 0.764)

Output
Fermi-level density of states: 1.599 states/eV per atom
energy relative to the elements: 370 kJ/mol of formula units
space group: No. 82
V: 476 Å³ per cell

***

First-principles (PBE) data for K2NbAlS5 after structural relaxation, as listed in Alexandria.

Cell: 3.622 9.332 14.107 Å, 90.00 90.00 101.19°
Element x y z (fractional)
S (0.721, 0.442, 0.147)
Nb (0.227, 0.453, 0.027)
Al (0.573, 0.146, 0.938)
S (0.490, 0.980, 0.307)
S (0.302, 0.605, 0.404)
K (0.904, 0.809, 0.168)
K (0.871, 0.742, 0.801)
S (0.698, 0.395, 0.904)
S (0.654, 0.308, 0.495)
S (0.510, 0.020, 0.807)
S (0.279, 0.558, 0.647)
Nb (0.773, 0.547, 0.527)
S (0.930, 0.861, 0.537)
K (0.096, 0.191, 0.668)
Al (0.427, 0.854, 0.438)
K (0.129, 0.258, 0.301)
S (0.346, 0.692, 0.995)
S (0.070, 0.139, 0.037)

Output
Fermi-level density of states: 0.156 states/eV per atom
space group: No. 36
V: 468 Å³ per cell
energy relative to the elements, uncorrected: -1097 meV/atom

***

First-principles (PBE) data for Th2Ga6AgAu after structural relaxation, as listed in Alexandria.

Cell: 6.386 6.386 12.985 Å, 75.77 75.77 60.00°
Element x y z (fractional)
Ga (0.769, 0.769, 0.119)
Ga (0.334, 0.334, 0.387)
Ga (0.231, 0.658, 0.881)
Ga (0.666, 0.666, 0.613)
Th (0.107, 0.107, 0.680)
Au (0.571, 0.571, 0.286)
Ga (0.658, 0.231, 0.881)
Ga (0.342, 0.769, 0.119)
Ga (0.056, 0.666, 0.613)
Ag (0.500, 0.500, 0.500)
Th (0.893, 0.893, 0.320)
Ga (0.666, 0.056, 0.613)
Au (0.429, 0.429, 0.714)
Ag (0.000, 0.000, 0.000)
Ga (0.231, 0.231, 0.881)
Th (0.297, 0.297, 0.108)
Ga (0.944, 0.334, 0.387)
Ga (0.334, 0.944, 0.387)
Ga (0.769, 0.342, 0.119)
Th (0.703, 0.703, 0.892)

Output
Fermi-level density of states: 0.460 states/eV per atom
energy relative to the elements: -205 kJ/mol of formula units
space group: No. 166
V: 440 Å³ per cell

***

First-principles (PBE) data for Ti3CdBr after structural relaxation, as listed in Alexandria.

Cell: 4.695 4.695 4.695 Å, 90.00 90.00 90.00°
Each line ends with the local moment (μB).
Element x y z (fractional)
Ti (0.000, 0.000, 0.500)  0.14
Ti (0.500, 0.000, 0.000)  0.38
Br (0.000, 0.000, 0.000)  0.00
Ti (0.000, 0.500, 0.000)  0.31
Cd (0.500, 0.500, 0.500)  0.00

Output
Fermi-level density of states: 1.743 states/eV per atom
space group: No. 221
V: 104 Å³ per cell
energy relative to the elements, uncorrected: 426 meV/atom

***

First-principles (PBE) data for Ac5ErTl6 after structural relaxation, as listed in Alexandria.

Cell: 5.777 9.951 9.991 Å, 60.13 73.24 54.63°
Element x y z (fractional)
Tl (0.722, 0.777, 0.000)
Tl (0.767, 0.392, 0.685)
Ac (0.000, 0.663, 0.674)
Tl (0.767, 0.077, 0.315)
Tl (0.278, 0.223, 0.000)
Ac (0.500, 0.824, 0.352)
Tl (0.233, 0.923, 0.685)
Ac (0.500, 0.500, 0.000)
Ac (0.500, 0.176, 0.648)
Tl (0.233, 0.608, 0.315)
Ac (0.000, 0.337, 0.326)
Er (0.000, 0.000, 0.000)

Output
Fermi-level density of states: 1.098 states/eV per atom
energy relative to the elements: -385 kJ/mol of formula units
space group: No. 12
V: 406 Å³ per cell

***

First-principles (PBE) data for La2SbS after structural relaxation, as listed in Alexandria.

Cell: 6.812 6.812 8.473 Å, 66.30 66.30 90.00°
Each line ends with the local moment (μB).
Element x y z (fractional)
La (0.875, 0.840, 0.750)  0.18
Sb (0.000, 0.000, 0.000)  -0.02
La (0.590, 0.125, 0.250)  0.17
La (0.160, 0.625, 0.250)  0.17
Sb (0.750, 0.250, 0.500)  -0.02
S (0.500, 0.500, 0.000)  -0.02
S (0.250, 0.750, 0.500)  -0.02
La (0.375, 0.410, 0.750)  0.17

Output
Fermi-level density of states: 0.477 states/eV per atom
space group: No. 122
V: 323 Å³ per cell
energy relative to the elements, uncorrected: -1196 meV/atom

***

First-principles (PBE) data for Li2DyMg6 after structural relaxation, as listed in Alexandria.

Cell: 3.129 8.923 11.783 Å, 112.25 130.84 90.00°
Element x y z (fractional)
Mg (0.356, 0.346, 0.344)
Mg (0.500, 0.333, 0.000)
Li (0.740, 0.652, 0.303)
Mg (0.644, 0.654, 0.656)
Mg (0.644, 0.002, 0.656)
Dy (0.000, 0.000, 0.000)
Mg (0.356, 0.998, 0.344)
Mg (0.500, 0.667, 0.000)
Li (0.260, 0.348, 0.697)

Output
Fermi-level density of states: 0.595 states/eV per atom
energy relative to the elements: 4 kJ/mol of formula units
space group: No. 12
V: 215 Å³ per cell

***

First-principles (PBE) data for TbLuFe after structural relaxation, as listed in Alexandria.

Cell: 3.296 3.296 6.733 Å, 104.17 104.17 90.00°
Element x y z (fractional)
Tb (0.039, 0.039, 0.078)
Fe (0.669, 0.669, 0.339)
Lu (0.292, 0.292, 0.583)

Output
Fermi-level density of states: 0.535 states/eV per atom
energy relative to the elements: 5 kJ/mol of formula units
space group: No. 107
V: 69 Å³ per cell

***

First-principles (PBE) data for Ce6Hg3C after structural relaxation, as listed in Alexandria.

Cell: 7.289 6.608 6.608 Å, 62.73 72.84 72.84°
Each line ends with the local moment (μB).
Element x y z (fractional)
C (0.500, 0.500, 0.500)  -0.04
Ce (0.646, 0.412, 0.825)  0.48
Hg (0.709, 0.866, 0.866)  0.00
Ce (0.354, 0.588, 0.175)  0.48
Ce (0.834, 0.322, 0.322)  0.83
Ce (0.166, 0.678, 0.678)  0.83
Hg (0.291, 0.134, 0.134)  0.00
Hg (0.000, 0.000, 0.000)  0.00
Ce (0.646, 0.825, 0.412)  0.48
Ce (0.354, 0.175, 0.588)  0.48

Output
Fermi-level density of states: 2.907 states/eV per atom
energy relative to the elements: -123 kJ/mol of formula units
space group: No. 12
V: 265 Å³ per cell

***

First-principles (PBE) data for VCrPbI2 after structural relaxation, as listed in Alexandria.

Cell: 6.277 5.519 6.277 Å, 90.00 90.00 90.00°
Each line ends with the local moment (μB).
Element x y z (fractional)
Cr (0.500, 0.500, 0.500)  4.46
I (0.000, 0.000, 0.500)  0.04
I (0.500, 0.000, 0.000)  0.04
Pb (0.000, 0.000, 0.000)  0.02
V (0.000, 0.500, 0.000)  3.01

Output
Fermi-level density of states: 1.931 states/eV per atom
space group: No. 123
V: 217 Å³ per cell
energy relative to the elements, uncorrected: 1107 meV/atom

***

First-principles (PBE) data for Tb2ZrZn after structural relaxation, as listed in Alexandria.

Cell: 3.429 3.429 8.537 Å, 90.00 90.00 90.00°
Element x y z (fractional)
Zr (0.500, 0.500, 0.500)
Tb (0.000, 0.000, 0.228)
Tb (0.000, 0.000, 0.772)
Zn (0.500, 0.500, 0.000)

Output
Fermi-level density of states: 1.166 states/eV per atom
energy relative to the elements: -44 kJ/mol of formula units
space group: No. 123
V: 100 Å³ per cell

***

First-principles (PBE) data for Pm3NdEr3 after structural relaxation, as listed in Alexandria.

Cell: 8.897 8.897 8.897 Å, 58.47 58.47 58.47°
Element x y z (fractional)
Er (0.172, 0.937, 0.716)
Er (0.063, 0.284, 0.828)
Pm (0.070, 0.720, 0.567)
Pm (0.433, 0.930, 0.280)
Pm (0.280, 0.433, 0.930)
Pm (0.720, 0.567, 0.070)
Er (0.716, 0.172, 0.937)
Nd (0.655, 0.655, 0.655)
Er (0.937, 0.716, 0.172)
Pm (0.567, 0.070, 0.720)
Nd (0.345, 0.345, 0.345)
Er (0.284, 0.828, 0.063)
Pm (0.930, 0.280, 0.433)
Er (0.828, 0.063, 0.284)

Output
Fermi-level density of states: 1.493 states/eV per atom
energy relative to the elements: 134 kJ/mol of formula units
space group: No. 148
V: 481 Å³ per cell